Material: RbCuPb2F8
Method: DFT, PBE-GGA
State: optimized geometry

Cell: 4.5720 6.1203 7.7222 Å, 85.65 82.96 97.92°
Last column: nearest neighbours and their distance in Å.
Fractional positions:
Rb1 0.0000 0.0000 0.5000  8 F 2.79-3.12
Cu1 0.0000 0.0000 0.0000  4 F 1.81-1.83
Pb1 0.4735 0.4445 0.7531  5 F 2.32-2.57
Pb2 0.5265 0.5555 0.2469  5 F 2.32-2.57
F1 0.0457 0.6697 0.2501  2 Pb 2.38-2.39
F2 0.8159 0.7677 0.8990  1 Cu 1.83
F3 0.6786 0.9750 0.1665  1 Cu 1.81
F4 0.9543 0.3303 0.7499  2 Pb 2.38-2.39
F5 0.1840 0.2323 0.1010  1 Cu 1.83
F6 0.3214 0.0250 0.8335  1 Cu 1.81
F7 0.4678 0.7124 0.5104  2 Pb 2.32-2.40
F8 0.5322 0.2876 0.4896  2 Pb 2.32-2.40

Calculated values
The total moment comes out at 0.001 μB/f.u. The energy relative to the elements, uncorrected is -2.134 eV per atom.

=====

Material: CeTm2Te
Method: DFT, PBE-GGA
State: optimized geometry

Cell: 4.7017 4.7711 4.7711 Å, 90.00 90.00 90.00°
Last column: nearest neighbours and their distance in Å.
Fractional positions:
Tm1 0.0000 0.0000 0.5000  4 Ce 3.35, 4 Te 3.35, 4 Tm 3.37
Tm2 0.0000 0.5000 0.0000  4 Ce 3.35, 4 Te 3.35, 4 Tm 3.37
Te1 0.5000 0.0000 0.0000  8 Tm 3.35, 4 Ce 3.37
Ce1 0.5000 0.5000 0.5000  8 Tm 3.35, 4 Te 3.37

Calculated values
The total moment comes out at 0.649 μB/f.u. The energy relative to the elements, uncorrected is -0.412 eV per atom.

=====

Material: MnCd2As
Method: DFT, PBE-GGA
State: optimized geometry

Cell: 3.4043 3.2630 7.6878 Å, 64.63 90.00 90.00°
Last column: nearest neighbours and their distance in Å.
Fractional positions:
As1 0.5000 0.8167 0.6814  4 Mn 2.51
Cd1 0.0000 0.0108 0.9906  1 Mn 3.01, 6 Cd 3.06-3.26, 4 As 3.18-3.20
Cd2 0.5000 0.2295 0.2711  1 As 2.85, 4 Cd 3.06, 4 Mn 3.08-3.09
Mn1 0.0000 0.4430 0.5570  4 As 2.51

Calculated values
Its energy relative to the elements is 68 meV per atom. The total moment comes out at 2.797 μB/f.u.

=====

Material: ZrIn2Co
Method: DFT, PBE-GGA
State: optimized geometry

Cell: 3.1775 3.1775 7.4247 Å, 90.00 90.00 90.00°
Last column: nearest neighbours and their distance in Å.
Fractional positions:
Co1 0.5000 0.5000 0.7500  8 In 2.73
In1 0.0000 0.0000 0.9584  4 Co 2.73
In2 0.0000 0.0000 0.5416  4 Co 2.73
Zr1 0.5000 0.5000 0.2500  8 In 3.12, 4 Zr 3.18

Calculated values
Its energy relative to the elements is -81 meV per atom. The total moment comes out at 0.933 μB/f.u.

=====

Material: PuTaFeTc
Method: DFT, PBE-GGA
State: optimized geometry

Cell: 4.5686 4.5686 4.5686 Å, 60.00 60.00 60.00°
Last column: nearest neighbours and their distance in Å.
Fractional positions:
Fe1 0.2500 0.2500 0.2500  4 Ta 2.80, 4 Pu 2.80
Ta1 0.0000 0.0000 0.0000  4 Tc 2.80, 4 Fe 2.80
Tc1 0.7500 0.7500 0.7500  4 Ta 2.80, 4 Pu 2.80
Pu1 0.5000 0.5000 0.5000  4 Fe 2.80, 4 Tc 2.80

Calculated values
Its energy relative to the elements is 15 meV per atom. The total moment comes out at 3.330 μB/f.u.

=====

Material: Pr2ScSb
Method: DFT, PBE-GGA
State: optimized geometry

Cell: 4.8430 4.8206 4.8206 Å, 90.00 90.00 90.00°
Last column: nearest neighbours and their distance in Å.
Fractional positions:
Pr1 0.0000 0.0000 0.5000  4 Pr 3.41, 4 Sb 3.42, 4 Sc 3.42
Pr2 0.0000 0.5000 0.0000  4 Pr 3.41, 4 Sb 3.42, 4 Sc 3.42
Sb1 0.5000 0.0000 0.0000  4 Sc 3.41, 8 Pr 3.42
Sc1 0.5000 0.5000 0.5000  4 Sb 3.41, 8 Pr 3.42

Calculated values
The total moment comes out at 0.000 μB/f.u. The energy relative to the elements, uncorrected is -0.492 eV per atom.

=====

Material: LaHoTh2
Method: DFT, PBE-GGA
State: optimized geometry

Cell: 5.0450 5.1009 11.4411 Å, 90.00 116.10 90.00°
Last column: nearest neighbours and their distance in Å.
Fractional positions:
La1 0.3638 0.2500 0.3646  4 Th 3.57-3.58, 6 Ho 3.59-3.76, 2 La 3.77
La2 0.6362 0.7500 0.6354  4 Th 3.57-3.58, 6 Ho 3.59-3.76, 2 La 3.77
Ho1 0.8639 0.7500 0.3645  4 Th 3.55-3.60, 6 La 3.59-3.76, 2 Ho 3.78
Ho2 0.1361 0.2500 0.6355  4 Th 3.55-3.60, 6 La 3.59-3.76, 2 Ho 3.78
Th1 0.6171 0.2500 0.1175  8 Th 3.51-3.59, 2 La 3.58, 2 Ho 3.60
Th2 0.3829 0.7500 0.8825  8 Th 3.51-3.59, 2 La 3.58, 2 Ho 3.60
Th3 0.1207 0.7500 0.1213  8 Th 3.52-3.59, 2 Ho 3.55, 2 La 3.57
Th4 0.8793 0.2500 0.8787  8 Th 3.52-3.59, 2 Ho 3.55, 2 La 3.57

Calculated values
Its energy relative to the elements is 27 meV per atom. The total moment comes out at 0.000 μB/f.u.

=====

Material: NaRhC3
Method: DFT, PBE-GGA
State: optimized geometry

Cell: 4.0514 4.0514 4.0514 Å, 90.00 90.00 90.00°
Last column: nearest neighbours and their distance in Å.
Fractional positions:
Na1 0.5000 0.5000 0.5000  12 C 2.86
C1 0.0000 0.5000 0.0000  2 Rh 2.03
C2 0.0000 0.0000 0.5000  2 Rh 2.03
C3 0.5000 0.0000 0.0000  2 Rh 2.03
Rh1 0.0000 0.0000 0.0000  6 C 2.03

Calculated values
Its energy relative to the elements is 2077 meV per atom. The total moment comes out at 2.283 μB/f.u.

=====

Material: Mg2InCu
Method: DFT, PBE-GGA
State: optimized geometry

Cell: 6.8717 4.9761 3.2645 Å, 89.85 61.88 122.40°
Last column: nearest neighbours and their distance in Å.
Fractional positions:
Cu1 0.0000 0.5000 0.5000  8 Mg 2.97-2.98, 2 In 3.03, 2 Cu 3.26
In1 0.5000 0.5000 0.0000  8 Mg 2.97-2.98, 2 Cu 3.03, 2 In 3.26
Mg1 0.0000 0.0000 0.0000  4 In 2.97-2.98, 4 Cu 2.97-2.98, 4 Mg 3.03-3.26
Mg2 0.5000 0.0000 0.5000  4 Cu 2.97-2.98, 4 In 2.97-2.98, 4 Mg 3.03-3.26

Calculated values
Its energy relative to the elements is -5 meV per atom. The total moment comes out at 0.000 μB/f.u.

=====

Material: Ac2Zn6Rh3
Method: DFT, PBE-GGA
State: optimized geometry

Cell: 4.1060 7.8110 7.8110 Å, 120.00 90.00 90.00°
Last column: nearest neighbours and their distance in Å.
Fractional positions:
Ac1 0.0000 0.6667 0.3333  6 Rh 3.17, 9 Zn 3.31-3.53
Ac2 0.0000 0.3333 0.6667  6 Rh 3.17, 9 Zn 3.31-3.53
Zn1 0.5000 0.7288 0.7288  3 Rh 2.65-2.70, 4 Zn 2.79
Zn2 0.5000 0.0000 0.2712  3 Rh 2.65-2.70, 4 Zn 2.79
Zn3 0.0000 0.1901 0.1901  6 Zn 2.57-2.79, 2 Rh 2.58
Zn4 0.0000 0.8099 0.0000  6 Zn 2.57-2.79, 2 Rh 2.58
Zn5 0.5000 0.2712 0.0000  3 Rh 2.65-2.70, 4 Zn 2.79
Zn6 0.0000 0.0000 0.8099  6 Zn 2.57-2.79, 2 Rh 2.58
Rh1 0.5000 0.3899 0.3899  5 Zn 2.58-2.70
Rh2 0.5000 0.6101 0.0000  5 Zn 2.58-2.70
Rh3 0.5000 0.0000 0.6101  5 Zn 2.58-2.70

Calculated values
Its energy relative to the elements is -432 meV per atom. The total moment comes out at 0.000 μB/f.u.

=====

Material: LiSb2Se
Method: DFT, PBE-GGA
State: optimized geometry

Cell: 5.1430 5.1430 3.4743 Å, 90.00 90.00 90.00°
Last column: nearest neighbours and their distance in Å.
Fractional positions:
Li1 0.0000 0.5000 0.5000  8 Sb 3.10, 2 Li 3.47
Sb1 0.0000 0.0000 0.0000  4 Se 3.10, 4 Li 3.10, 2 Sb 3.47
Sb2 0.5000 0.5000 0.0000  4 Se 3.10, 4 Li 3.10, 2 Sb 3.47
Se1 0.5000 0.0000 0.5000  8 Sb 3.10, 2 Se 3.47

Calculated values
The total moment comes out at 0.000 μB/f.u. The energy relative to the elements, uncorrected is -0.073 eV per atom.

=====

Material: Ce3RuC
Method: DFT, PBE-GGA
State: optimized geometry

Cell: 3.6460 6.3094 9.9106 Å, 80.10 90.00 73.21°
Last column: nearest neighbours and their distance in Å.
Fractional positions:
Ce1 0.2208 0.1266 0.3105  2 C 2.60, 2 Ru 2.68
Ce2 0.4913 0.5856 0.1343  1 C 2.51, 2 Ru 2.78
Ce3 0.1970 0.1751 0.9247  1 C 2.51, 2 Ru 2.78
Ce4 0.7124 0.1436 0.6096  3 C 2.44-2.48
Ce5 0.4671 0.6341 0.7486  2 C 2.60, 2 Ru 2.68
Ce6 0.9756 0.6171 0.4495  3 C 2.44-2.48
Ru1 0.7712 0.0264 0.1329  4 Ce 2.68-2.78, 1 Ru 2.93
Ru2 0.9178 0.7343 0.9262  4 Ce 2.68-2.78, 1 Ru 2.93
C1 0.0997 0.3689 0.6783  6 Ce 2.44-2.60
C2 0.5882 0.3918 0.3808  6 Ce 2.44-2.60

Calculated values
Its energy relative to the elements is -192 meV per atom. The total moment comes out at 0.001 μB/f.u.